# 1
CeUCuIr: optimized geometry, PBE.

Total DFT energy (no corrections) (eV/atom): -7.852
Formation enthalpy at 0 K (eV per atom): -0.308
ρ (Mg/m³): 14.410

The structure in POSCAR format:
```
CeUCuIr
1.0
-2.680 -1.222 -3.653
-2.887 -3.683 0.337
-4.642 0.665 0.169
U Ce Cu Ir
1 1 1 1
Direct
0.750 0.750 0.750 U
0.500 0.500 0.500 Ce
0.250 0.250 0.250 Cu
0.000 0.000 0.000 Ir
```

***

# 2
CdSbTeI2: optimized geometry, PBE.

Total DFT energy (no corrections) (eV/atom): -1.880
ρ (Mg/m³): 4.518
Uncorrected formation energy (eV per atom): 0.376

The structure in POSCAR format:
```
CdSbTeI2
1.0
6.105 0.000 0.000
0.000 6.105 0.000
0.000 0.000 6.072
I Te Cd Sb
2 1 1 1
Direct
0.500 0.000 0.000 I
0.000 0.500 0.000 I
0.000 0.000 0.000 Te
0.500 0.500 0.500 Cd
0.000 0.000 0.500 Sb
```

***

Repeat the first record exactly.
CeUCuIr: optimized geometry, PBE.

Total DFT energy (no corrections) (eV/atom): -7.852
Formation enthalpy at 0 K (eV per atom): -0.308
ρ (Mg/m³): 14.410

The structure in POSCAR format:
```
CeUCuIr
1.0
-2.680 -1.222 -3.653
-2.887 -3.683 0.337
-4.642 0.665 0.169
U Ce Cu Ir
1 1 1 1
Direct
0.750 0.750 0.750 U
0.500 0.500 0.500 Ce
0.250 0.250 0.250 Cu
0.000 0.000 0.000 Ir
```